# La2CdPdO6 | Alexandria via LeMat-Bulk | PBE | optimized geometry
data_La2CdPdO6
_chemical_formula_sum 'La4 Cd2 Pd2 O12'
_cell_length_a 5.682
_cell_length_b 6.032
_cell_length_c 9.938
_cell_angle_alpha 90.00
_cell_angle_beta 124.78
_cell_angle_gamma 90.00
_space_group_name_H-M_alt 'P 1 21/c 1'
_space_group_IT_number 14
_space_group_name_Hall '-P 2ybc'
loop_
_atom_site_label
_atom_site_type_symbol
_atom_site_fract_x
_atom_site_fract_y
_atom_site_fract_z
La1 La 0.233 0.064 0.252
Cd1 Cd 0.500 0.000 0.000
Pd1 Pd 0.000 0.000 0.500
O1 O 0.108 0.215 0.932
O2 O 0.241 0.682 0.946
O3 O 0.351 0.050 0.734
# - DFT total energy: -6.66 eV/atom
# - Energy relative to the elements, uncorrected: -201.1 kJ/mol of atoms
# - V: 280 Å³/cell